a.
Entry from Alexandria via LeMat-Bulk: crystalline PrYO at its relaxed geometry (PBE).

a = 6.2072 Å, b = 5.9132 Å, c = 7.3091 Å
α = 90.00°, β = 90.00°, γ = 90.00°
Closest atoms and distances in Å follow each position.
Sites, in units of the cell vectors:
1 Y 0.4435 0.2500 0.6023  4 O 2.32-2.42
2 Y 0.9435 0.2500 0.3977  4 O 2.32-2.42
3 Y 0.5565 0.7500 0.3977  4 O 2.32-2.42
4 Y 0.0565 0.7500 0.6023  4 O 2.32-2.42
5 Pr 0.1300 0.7500 0.0986  2 O 2.88
6 Pr 0.3700 0.2500 0.0986  2 O 2.88
7 Pr 0.8700 0.2500 0.9014  2 O 2.88
8 Pr 0.6300 0.7500 0.9014  2 O 2.88
9 O 0.2500 0.0000 0.4208  4 Y 2.32-2.42
10 O 0.2500 0.5000 0.4208  4 Y 2.32-2.42
11 O 0.7500 0.0000 0.5792  4 Y 2.32-2.42
12 O 0.7500 0.5000 0.5792  4 Y 2.32-2.42

Results
Its space group is Pbcm.



b.
Entry from Alexandria via LeMat-Bulk: crystalline PrYO at its relaxed geometry (PBE).

a = 3.6044 Å, b = 3.6044 Å, c = 6.0643 Å
α = 90.00°, β = 90.00°, γ = 120.00°
Closest atoms and distances in Å follow each position.
Sites, in units of the cell vectors:
1 Pr 0.0000 0.0000 0.0891  3 O 2.65
2 Y 0.3333 0.6667 0.5506  3 O 2.38
3 O 0.6667 0.3333 0.3604  3 Y 2.38, 3 Pr 2.65

Results
Its space group is P3m1.



Stability ranking, top and bottom: a is the most stable and b is the least stable.



a.
Entry from Alexandria via LeMat-Bulk: crystalline PrYO2 at its relaxed geometry (PBE).

a = 6.2956 Å, b = 6.2956 Å, c = 6.2956 Å
α = 31.96°, β = 31.96°, γ = 31.96°
Closest atoms and distances in Å follow each position.
Sites, in units of the cell vectors:
1 Pr 0.5000 0.5000 0.5000  6 O 2.67
2 Y 0.0000 0.0000 0.0000  6 O 2.34
3 O 0.2655 0.2655 0.2655  3 Y 2.34
4 O 0.7345 0.7345 0.7345  3 Y 2.34

Results
Its space group is R-3m.



b.
Entry from Alexandria via LeMat-Bulk: crystalline PrYO2 at its relaxed geometry (PBE).

a = 3.4748 Å, b = 3.4748 Å, c = 6.4156 Å
α = 74.29°, β = 74.29°, γ = 60.00°
Closest atoms and distances in Å follow each position.
Sites, in units of the cell vectors:
1 Pr 0.4948 0.4948 0.5156  6 O 2.62-2.75
2 Y 0.6718 0.6718 0.9845  6 O 2.32-2.42
3 O 0.0691 0.0691 0.7928  3 Y 2.32
4 O 0.2643 0.2643 0.2071  3 Y 2.42

Results
Its space group is R3m.



Stability ranking, top and bottom: a is the most stable and b is the least stable.



a.
Entry from Alexandria via LeMat-Bulk: crystalline Rb2PtO4 at its relaxed geometry (PBE).

a = 3.2688 Å, b = 6.1322 Å, c = 6.9417 Å
α = 64.13°, β = 89.99°, γ = 74.54°
Closest atoms and distances in Å follow each position.
Sites, in units of the cell vectors:
1 Rb 0.6643 0.6715 0.6810  7 O 2.87-2.97
2 Rb 0.3357 0.3285 0.3190  7 O 2.87-2.97
3 Pt 0.0000 0.0000 0.0000  6 O 1.90-2.07
4 O 0.9605 0.0793 0.7027  1 Pt 1.90
5 O 0.0395 0.9207 0.2973  1 Pt 1.90
6 O 0.6178 0.7642 0.0522  2 Pt 2.07
7 O 0.3822 0.2358 0.9478  2 Pt 2.07

Results
Its space group is C2/m.



b.
Entry from Alexandria via LeMat-Bulk: crystalline Rb2PtO4 at its relaxed geometry (PBE).

a = 6.0055 Å, b = 6.0055 Å, c = 6.5535 Å
α = 122.94°, β = 122.94°, γ = 79.23°
Closest atoms and distances in Å follow each position.
Sites, in units of the cell vectors:
1 Rb 0.2500 0.7500 0.5000  8 O 3.04
2 Rb 0.7500 0.2500 0.5000  8 O 3.04
3 Pt 0.0000 0.0000 0.0000  4 O 1.87
4 O 0.7976 0.7977 0.0000  1 Pt 1.87
5 O 0.2023 0.2024 0.0000  1 Pt 1.87
6 O 0.2014 0.2014 0.4028  1 Pt 1.87
7 O 0.7986 0.7986 0.5972  1 Pt 1.87

Results
Its space group is Fmmm.



c.
Entry from Alexandria via LeMat-Bulk: crystalline Rb2PtO4 at its relaxed geometry (PBE).

a = 4.1642 Å, b = 4.1642 Å, c = 7.6166 Å
α = 74.14°, β = 74.14°, γ = 90.00°
Closest atoms and distances in Å follow each position.
Sites, in units of the cell vectors:
1 O 0.1357 0.1357 0.7287  1 Pt 1.91
2 O 0.8643 0.8643 0.2713  1 Pt 1.91
3 O 0.0000 0.5000 0.0000  2 Pt 2.08
4 O 0.5000 0.0000 0.0000  2 Pt 2.08
5 Rb 0.3523 0.3523 0.2953  9 O 2.94-3.04
6 Rb 0.6477 0.6477 0.7047  9 O 2.94-3.04
7 Pt 0.0000 0.0000 0.0000  6 O 1.91-2.08

Results
Its space group is I4/mmm.



Stability ranking, top and bottom: a is the most stable and c is the least stable.